## BiPRuCl2 (GGA-PBE)

Data for an optimized crystal structure of BiPRuCl2.

```
BiPRuCl2
1.0
5.267 0.000 0.000
0.000 5.267 0.000
0.000 0.000 5.532
Ru P Cl Bi
1 1 2 1
Cartesian
2.634 2.634 2.766 Ru
0.000 0.000 2.766 P
0.000 2.634 0.000 Cl
2.634 0.000 0.000 Cl
0.000 0.000 0.000 Bi
```

formation energy (no corrections) = 1.01 eV per atom
mass density = 4.5 g cm⁻³
SG = No. 123
total magnetic moment = 3.3 Bohr magnetons per cell
total DFT energy (no corrections) = -3.445 eV/atom

=====

## BiPRuCl2 (GGA-PBE)

Data for an optimized crystal structure of BiPRuCl2.

```
BiPRuCl2
1.0
-3.758 2.982 -0.354
-0.924 -0.609 4.681
2.774 3.616 1.018
P Cl Bi Ru
1 2 1 1
Cartesian
1.387 1.808 0.509 P
-0.462 -0.304 2.341 Cl
-1.879 1.491 -0.177 Cl
-0.954 2.995 2.672 Bi
0.000 0.000 0.000 Ru
```

formation energy (no corrections) = 0.20 eV per atom
mass density = 6.3 g cm⁻³
SG = No. 123
total magnetic moment = 0.0 Bohr magnetons per cell
total DFT energy (no corrections) = -4.253 eV/atom

=====

## BiP2SCl (GGA-PBE)

Data for an optimized crystal structure of BiP2SCl.

```
BiP2SCl
1.0
5.520 0.000 0.000
0.000 5.520 0.000
0.000 0.000 5.135
P Cl Bi S
2 1 1 1
Cartesian
2.760 0.000 0.000 P
0.000 2.760 0.000 P
2.760 2.760 2.568 Cl
0.000 0.000 0.000 Bi
0.000 0.000 2.568 S
```

formation energy (no corrections) = 1.17 eV per atom
mass density = 3.6 g cm⁻³
SG = No. 123
total magnetic moment = 2.8 Bohr magnetons per cell
total DFT energy (no corrections) = -2.964 eV/atom